Computed, not measured: an optimized crystal structure of Ca2GaPt2 at the PBE level of DFT.

Cell and atoms, written as CIF:
```
data_Ca2GaPt2
_symmetry_space_group_name_H-M 'C 1 2/c 1'
_symmetry_Int_Tables_number 15
_symmetry_space_group_name_Hall '-C 2yc'
_cell_length_a 9.889
_cell_length_b 5.689
_cell_length_c 7.860
_cell_angle_alpha 90.00
_cell_angle_beta 102.64
_cell_angle_gamma 90.00
loop_
_atom_site_label
_atom_site_type_symbol
_atom_site_fract_x
_atom_site_fract_y
_atom_site_fract_z
Ca1 Ca 0.150 0.136 0.150
Ga1 Ga 0.000 0.370 0.750
Pt1 Pt 0.131 0.367 0.503
```

Values from the calculation:
formation energy: -0.98 eV per atom
crystal system: monoclinic
calculated density: 8.31 g/cm³
total DFT energy (no corrections): -4.807 eV per atom
V: 21.57 Å³ per atom
DOS(E_F): 4.67 states/eV per cell